DFT (PBE-GGA) results for a relaxed LiCd7Hg4 crystal.

Properties
- Final energy: -0.76 eV/atom
- Total moment: 0.0 μB per cell
- Crystal system: monoclinic
- V: 25.13 Å³/atom
- Energy relative to the elements: 33 meV per atom

abc: 12.561 5.470 10.708
angles: 90.00 124.94 90.00
Space group C2/m (No. 12)
Asymmetric unit:
Li 0.000 0.000 0.000 (multiplicity 2)
Cd 0.000 0.500 0.000 (multiplicity 2)
Cd 0.085 0.000 0.442 (multiplicity 4)
Cd 0.195 0.500 0.904 (multiplicity 4)
Cd 0.249 0.500 0.671 (multiplicity 4)
Hg 0.089 0.500 0.328 (multiplicity 4)
Hg 0.201 0.000 0.775 (multiplicity 4)

DFT (PBE-GGA) results for a relaxed Li3CdHg2 crystal.

Properties
- Final energy: -1.55 eV/atom
- Total moment: 0.0 μB per cell
- Crystal system: tetragonal
- V: 18.38 Å³/atom
- Energy relative to the elements: -335 meV per atom

abc: 3.405 3.405 9.512
angles: 90.00 90.00 90.00
Space group P4/mmm (No. 123)
Asymmetric unit:
Li 0.000 0.000 0.000 (multiplicity 1)
Li 0.000 0.000 0.329 (multiplicity 2)
Cd 0.500 0.500 0.500 (multiplicity 1)
Hg 0.500 0.500 0.168 (multiplicity 2)

DFT (PBE-GGA) results for a relaxed Li2Cd3Hg2 crystal.

Properties
- Final energy: -1.23 eV/atom
- Total moment: 0.0 μB per cell
- Crystal system: trigonal
- V: 20.60 Å³/atom
- Energy relative to the elements: -201 meV per atom

abc: 4.7824 4.7824 21.8425
angles: 90.00 90.00 120.00
Space group R-3m (No. 166, hexagonal axes)
Asymmetric unit:
Li 0.0000 0.0000 0.2230 (multiplicity 6)
Cd 0.0000 0.0000 0.3607 (multiplicity 6)
Cd 0.0000 0.0000 0.5000 (multiplicity 3)
Hg 0.0000 0.0000 0.0909 (multiplicity 6)

DFT (PBE-GGA) results for a relaxed Li15Cd2Hg2 crystal.

Properties
- Final energy: -1.72 eV/atom
- Total moment: 0.0 μB per cell
- Crystal system: trigonal
- V: 17.96 Å³/atom
- Energy relative to the elements: -83 meV per atom

abc: 8.2657 8.2657 17.2989
angles: 90.00 90.00 120.00
Space group R-3m (No. 166, hexagonal axes)
Asymmetric unit:
Li 0.0000 0.3024 0.0000 (multiplicity 18)
Li 0.0000 0.5000 0.5000 (multiplicity 9)
Li 0.0845 0.5422 0.1069 (multiplicity 18)
Cd 0.0000 0.0000 0.0919 (multiplicity 6)
Hg 0.0000 0.0000 0.2904 (multiplicity 6)

DFT (PBE-GGA) results for a relaxed Li2CdHg8 crystal.

Properties
- Final energy: -0.76 eV/atom
- Total moment: 0.0 μB per cell
- Crystal system: monoclinic
- V: 24.52 Å³/atom
- Energy relative to the elements: -113 meV per atom

abc: 9.028 12.428 4.861
angles: 90.00 98.57 90.00
Space group Cm (No. 8)
Asymmetric unit:
Li 0.000 0.132 0.000 (multiplicity 4)
Cd 0.001 0.500 0.502 (multiplicity 2)
Hg 0.000 0.246 0.499 (multiplicity 4)
Hg 0.159 0.000 0.414 (multiplicity 2)
Hg 0.183 0.363 0.066 (multiplicity 4)
Hg 0.316 0.137 0.933 (multiplicity 4)
Hg 0.343 0.500 0.583 (multiplicity 2)

DFT (PBE-GGA) results for a relaxed LiCdHg6 crystal.

Properties
- Final energy: -0.66 eV/atom
- Total moment: 0.0 μB per cell
- Crystal system: tetragonal
- V: 24.15 Å³/atom
- Energy relative to the elements: -77 meV per atom

abc: 4.437 4.437 9.813
angles: 90.00 90.00 90.00
Space group P4/mmm (No. 123)
Asymmetric unit:
Li 0.000 0.000 0.000 (multiplicity 1)
Cd 0.000 0.000 0.500 (multiplicity 1)
Hg 0.000 0.500 0.240 (multiplicity 4)
Hg 0.500 0.500 0.000 (multiplicity 1)
Hg 0.500 0.500 0.500 (multiplicity 1)

The highest V belongs to which entry? LiCd7Hg4